DFT (PBE+U) results for a relaxed structure of BaV2RuO8.

Cell lengths 5.5845, 5.5845, 7.2632 Å; angles 90.00, 90.00, 120.00 degrees
Space group P-3 (No. 147)
Asymmetric unit:
Ba: 0.0000 0.0000 0.0000 [1 per cell]
V: 0.3333 0.6667 0.7372 [2 per cell]
Ru: 0.0000 0.0000 0.5000 [1 per cell]
O: 0.1326 0.3201 0.6660 [6 per cell]
O: 0.3333 0.6667 0.9691 [2 per cell]

DFT (PBE+U) results for a relaxed structure of BaVRuO6.

Cell lengths 5.2047, 5.2047, 5.7665 Å; angles 90.00, 90.00, 120.00 degrees
Space group P312 (No. 149)
Asymmetric unit:
Ba: 0.0000 0.0000 0.0000 [1 per cell]
V: 0.3333 0.6667 0.5000 [1 per cell]
Ru: 0.6667 0.3333 0.5000 [1 per cell]
O: 0.0082 0.3946 0.6884 [6 per cell]

DFT (PBE+U) results for a relaxed structure of Ba2Ru3WO12.

Cell lengths 7.1022, 7.1022, 18.1708 Å; angles 90.00, 90.00, 120.00 degrees
Space group R-3m (No. 166, hexagonal axes)
Asymmetric unit:
Ba: 0.0000 0.0000 0.1157 [6 per cell]
Ru: 0.0000 0.5000 0.0000 [9 per cell]
W: 0.0000 0.0000 0.5000 [3 per cell]
O: 0.0650 0.5325 0.3539 [18 per cell]
O: 0.0666 0.5333 0.1089 [18 per cell]

Let's list electronic total energy in order: -88.17, -64.32, -126.73 eV/f.u..
Let's list mass density in order: 3.96, 4.73, 5.99 g/cm³.
Let's list DOS at the Fermi energy in order: 3.25, 0.45, 9.08 states/eV/f.u..